DFT (GGA-PBE) results for a relaxed structure of CrCdP2N.

Cell: 4.292 4.292 5.345 Å, 90.00 90.00 90.00°
Space group P4/mmm (No. 123)
One atom of each set of equivalent atoms:
Cr 0.000 0.000 0.000 [1 per cell]
Cd 0.000 0.000 0.500 [1 per cell]
P 0.000 0.500 0.000 [2 per cell]
N 0.500 0.500 0.500 [1 per cell]

Uncorrected energy in eV per atom: -4.780
Volume in Å³/cell: 98.5